Ac2Th4Pb3N2: relaxed, PBE-GGA.

## Properties
- formation energy without anion corrections (eV per atom) = -0.770
- E_tot (eV per atom) = -6.740
- crystal system = tetragonal

Structure (POSCAR):
```
Ac2Th4Pb3N2
1.0
-2.453 2.453 13.709
2.453 -2.453 13.709
2.453 2.453 -13.709
Ac Th Pb N
2 4 3 2
Direct
0.196 0.196 0.000 Ac
0.804 0.804 0.000 Ac
0.082 0.582 0.500 Th
0.418 0.918 0.500 Th
0.582 0.082 0.500 Th
0.918 0.418 0.500 Th
0.328 0.328 0.000 Pb
0.500 0.500 0.000 Pb
0.672 0.672 0.000 Pb
0.095 0.095 0.000 N
0.905 0.905 0.000 N
```